Here is a geometry-optimized Cr2NiAg2S6 structure from the Alexandria database. Energies are from PBE.

The structure belongs to space group C2/m (No. 12); the cell edges are 6.0136, 10.3640 and 7.3228 Å and the angles 90.00°, 100.84° and 90.00°. The inequivalent atoms are Cr at (0.0000, 0.1605, 0.0000), Ni at (0.0000, 0.5000, 0.0000), Ag at (0.0000, 0.3514, 0.5000), S at (0.1207, 0.3386, 0.8293) and S at (0.1391, 0.0000, 0.8224).

The calculation puts the density of states at the Fermi level at 3.518 states/eV per cell. The value obtained for the energy is -5.426 eV per atom.

Here is a geometry-optimized Cr2NiAg2Se6 structure from the Alexandria database. Energies are from PBE.

The structure belongs to space group C2/m (No. 12); the cell edges are 6.3082, 10.9252 and 7.0779 Å and the angles 90.00°, 97.31° and 90.00°. The inequivalent atoms are Cr at (0.0000, 0.1650, 0.0000), Ni at (0.0000, 0.5000, 0.0000), Ag at (0.0000, 0.3609, 0.5000), Se at (0.1846, 0.3379, 0.1909) and Se at (0.2115, 0.0000, 0.1946).

The calculation puts the density of states at the Fermi level at 3.233 states/eV per cell. The value obtained for the energy is -4.981 eV per atom.

Here is a geometry-optimized V2CrNiAg structure from the Alexandria database. Energies are from PBE.

The structure belongs to space group P4/mmm (No. 123); the cell edges are 4.2174, 4.2174 and 4.4545 Å and the angles 90.00°, 90.00° and 90.00°. The inequivalent atoms are V at (0.0000, 0.5000, 0.0000), Cr at (0.0000, 0.0000, 0.0000), Ni at (0.0000, 0.0000, 0.5000) and Ag at (0.5000, 0.5000, 0.5000).

Its formation energy is 4.5 eV per formula unit. The calculation puts the density of states at the Fermi level at 5.429 states/eV per cell.

Copy entry 3 word for word.
Here is a geometry-optimized V2CrNiAg structure from the Alexandria database. Energies are from PBE.

The structure belongs to space group P4/mmm (No. 123); the cell edges are 4.2174, 4.2174 and 4.4545 Å and the angles 90.00°, 90.00° and 90.00°. The inequivalent atoms are V at (0.0000, 0.5000, 0.0000), Cr at (0.0000, 0.0000, 0.0000), Ni at (0.0000, 0.0000, 0.5000) and Ag at (0.5000, 0.5000, 0.5000).

Its formation energy is 4.5 eV per formula unit. The calculation puts the density of states at the Fermi level at 5.429 states/eV per cell.